A geometry-optimized LiCePuGe structure, computed with PBE-GGA.

Cell: 7.211 7.211 7.211 Å, 90.00 90.00 90.00°
Positions (direct):
Li 0.000 0.000 0.000
Li 0.000 0.500 0.500
Li 0.500 0.000 0.500
Li 0.500 0.500 0.000
Ce 0.250 0.250 0.750
Ce 0.250 0.750 0.250
Ce 0.750 0.250 0.250
Ce 0.750 0.750 0.750
Pu 0.250 0.250 0.250
Pu 0.250 0.750 0.750
Pu 0.750 0.250 0.750
Pu 0.750 0.750 0.250
Ge 0.000 0.000 0.500
Ge 0.000 0.500 0.000
Ge 0.500 0.000 0.000
Ge 0.500 0.500 0.500

Computed properties:
The value obtained for the total energy is -6.866 eV/atom. The formation energy from the elements is -0.7 eV/f.u. The density of states at the Fermi level is 11.6 states/eV/f.u. The space-group type is F-43m, No. 216.